(1)
The following is a DFT calculation (meta-GGA SCAN) of a PBEsol-optimized structure of Zr6NiCl15.

Output
raw formation energy: -1.897 eV/atom
space-group type: No. 229

abc: 8.795 8.795 8.795
angles: 109.47 109.47 109.47
Each line ends with the local moment (μB).
Atoms (fractional coordinates):
Zr: 0.243 0.000 0.243  0.08
Zr: 0.000 0.757 0.757  0.08
Zr: 0.757 0.000 0.757  0.08
Zr: 0.000 0.243 0.243  0.08
Zr: 0.757 0.757 0.000  0.08
Zr: 0.243 0.243 0.000  0.08
Ni: 0.000 0.000 0.000  0.32
Cl: 0.497 0.248 0.248  0.00
Cl: 0.752 0.000 0.248  0.00
Cl: 0.000 0.248 0.752  0.00
Cl: 0.752 0.503 0.752  0.00
Cl: 0.248 0.497 0.248  0.00
Cl: 0.248 0.000 0.752  0.00
Cl: 0.752 0.752 0.503  0.00
Cl: 0.248 0.248 0.497  0.00
Cl: 0.000 0.752 0.248  0.00
Cl: 0.500 0.500 0.000  0.00
Cl: 0.248 0.752 0.000  0.00
Cl: 0.500 0.000 0.500  0.00
Cl: 0.752 0.248 0.000  0.00
Cl: 0.503 0.752 0.752  0.00
Cl: 0.000 0.500 0.500  0.00

(2)
The following is a DFT calculation (meta-GGA SCAN) of a PBEsol-optimized structure of K5Cu.

Output
space-group type: No. 216
formation enthalpy at 0 K: 0.4917 eV/atom

abc: 7.879 7.879 7.879
angles: 60.00 60.00 60.00
Atoms (fractional coordinates):
Cu: 0.000 0.000 0.000
K: 0.250 0.250 0.250
K: 0.626 0.121 0.626
K: 0.626 0.626 0.121
K: 0.626 0.626 0.626
K: 0.121 0.626 0.626

(3)
The following is a DFT calculation (meta-GGA SCAN) of a PBEsol-optimized structure of LiFe2Pb.

Output
space-group type: No. 47
formation enthalpy at 0 K: 0.3678 eV/atom

abc: 2.870 4.009 5.341
angles: 90.00 90.00 90.00
Each line ends with the local moment (μB).
Atoms (fractional coordinates):
Fe: 0.000 0.000 0.779  3.01
Fe: 0.000 0.000 0.221  3.01
Li: 0.500 0.500 0.000  -0.04
Pb: 0.500 0.500 0.500  -0.04